No. 1
NaGe2Pt2 | PBE-GGA | optimized geometry

The space group is I4/mmm (No. 139) and the conventional cell measures 4.406, 4.406 and 10.251 Å, with angles of 90.00, 90.00 and 90.00 degrees. The distinct sites, in fractional coordinates, are Na at (0.000, 0.000, 0.000), Ge at (0.000, 0.500, 0.250) and Pt at (0.000, 0.000, 0.367).

The value obtained for the energy relative to the elements is -0.40 eV per atom. As for the magnetization: 0.000 μB/f.u.

No. 2
NaGaPbO4 | PBE-GGA | optimized geometry

The space group is Imma (No. 74) and the conventional cell measures 6.125, 6.782 and 8.773 Å, with angles of 90.00, 90.00 and 90.00 degrees. The distinct sites, in fractional coordinates, are Na at (0.250, 0.250, 0.250), Ga at (0.000, 0.250, 0.647), Pb at (0.000, 0.000, 0.000), O at (0.000, 0.011, 0.755) and O at (0.250, 0.250, 0.511).

Its uncorrected formation energy is -1.340 eV per atom. As for the magnetization: 0.000 μB/f.u.

No. 3
LaZnTe3 | PBE-GGA | optimized geometry

The space group is Pm-3m (No. 221) and the conventional cell measures 5.344, 5.344 and 5.344 Å, with angles of 90.00, 90.00 and 90.00 degrees. The distinct sites, in fractional coordinates, are La at (0.000, 0.000, 0.000), Zn at (0.500, 0.500, 0.500) and Te at (0.000, 0.500, 0.500).

Its uncorrected formation energy is -0.481 eV per atom. As for the magnetization: 0.000 μB/f.u.

No. 4
K4MnTe4 | PBE-GGA | optimized geometry

The space group is P4_2/nmc (No. 137, origin choice 2) and the conventional cell measures 9.949, 9.949 and 7.312 Å, with angles of 90.00, 90.00 and 90.00 degrees. The distinct sites, in fractional coordinates, are K at (0.018, 0.250, 0.079), Mn at (0.250, 0.750, 0.250) and Te at (0.029, 0.750, 0.430).

Its uncorrected formation energy is -0.754 eV per atom. As for the magnetization: 2.995 μB/f.u.

No. 5
BeGaSbI2 | PBE-GGA | optimized geometry

The space group is P4/mmm (No. 123) and the conventional cell measures 5.598, 5.598 and 4.785 Å, with angles of 90.00, 90.00 and 90.00 degrees. The distinct sites, in fractional coordinates, are Be at (0.000, 0.000, 0.000), Ga at (0.500, 0.500, 0.500), Sb at (0.000, 0.000, 0.500) and I at (0.000, 0.500, 0.000).

Its uncorrected formation energy is 0.245 eV per atom. As for the magnetization: 0.000 μB/f.u.

No. 6
BaY2Os | PBE-GGA | optimized geometry

The space group is P4mm (No. 99) and the conventional cell measures 3.549, 3.549 and 9.871 Å, with angles of 90.00, 90.00 and 90.00 degrees. The distinct sites, in fractional coordinates, are Ba at (0.000, 0.000, 0.000), Y at (0.000, 0.000, 0.360), Y at (0.500, 0.500, 0.642) and Os at (0.500, 0.500, 0.216).

The value obtained for the energy relative to the elements is 0.31 eV per atom. As for the magnetization: 0.348 μB/f.u.

Which value of magnetization does entry 5 give? 0.000 μB/f.u.